Version 1
# Zn2Co2Hg

Crystalline Zn2Co2Hg at its relaxed geometry (PBE-GGA, Alexandria).

The space group is I4/mmm (No. 139) and the conventional cell measures 3.370, 3.370 and 14.176 Å, with angles of 90.00, 90.00 and 90.00 degrees. The asymmetric unit holds Zn at (0.000, 0.000, 0.116), Co at (0.000, 0.500, 0.250) and Hg at (0.000, 0.000, 0.500).

The value obtained for the magnetization is 6.3 μB per cell. The mass density is 9.27 g cm⁻³.

Version 2
# Zn2Co2Hg

Crystalline Zn2Co2Hg at its relaxed geometry (PBE-GGA, Alexandria).

The space group is I4/mmm (No. 139) and the conventional cell measures 3.619, 3.619 and 11.688 Å, with angles of 90.00, 90.00 and 90.00 degrees. The asymmetric unit holds Zn at (0.000, 0.500, 0.250), Co at (0.000, 0.000, 0.098) and Hg at (0.000, 0.000, 0.500).

The value obtained for the magnetization is 5.3 μB per cell. The mass density is 9.75 g cm⁻³.

Which one sits at the top of the stability order? version 1 does.

Version 1
# Ho3Co2

Crystalline Ho3Co2 at its relaxed geometry (PBE-GGA, Alexandria).

The space group is Immm (No. 71) and the conventional cell measures 3.887, 6.036 and 9.198 Å, with angles of 90.00, 90.00 and 90.00 degrees. The asymmetric unit holds Ho at (0.000, 0.000, 0.000), Ho at (0.000, 0.500, 0.194) and Co at (0.000, 0.189, 0.500).

The value obtained for the magnetization is 0.0 μB per cell. The mass density is 9.43 g cm⁻³.

Version 2
# Ho3Co2

Crystalline Ho3Co2 at its relaxed geometry (PBE-GGA, Alexandria).

The space group is R-3c (No. 167, hexagonal axes) and the conventional cell measures 6.5960, 6.5960 and 18.1514 Å, with angles of 90.00, 90.00 and 120.00 degrees. The asymmetric unit holds Ho at (0.0000, 0.3556, 0.2500) and Co at (0.0000, 0.0000, 0.1789).

The value obtained for the magnetization is 0.0 μB per cell. The mass density is 8.93 g cm⁻³.

Which one sits at the top of the stability order? version 1 does.